[1]
Crystalline Pa4AlSi2 at its relaxed geometry. Source: Alexandria, functional PBE.

Output
Its space group is R-3m (166). For the total energy, the calculation gives -7.47 eV/atom. The formation energy without anion corrections is 0.042 eV/atom. The value obtained for the mass density is 9946 kg/m³.

```
Pa4AlSi2
1.0
2.2019 1.2713 10.0132
-2.2019 1.2713 10.0132
0.0000 -2.5425 10.0132
Pa Al Si
4 1 2
direct
0.1147 0.1147 0.1147 Pa
0.3044 0.3044 0.3044 Pa
0.6956 0.6956 0.6956 Pa
0.8853 0.8853 0.8853 Pa
0.5000 0.5000 0.5000 Al
0.4059 0.4059 0.4059 Si
0.5941 0.5941 0.5941 Si
```



[2]
Crystalline Pu2MgNi9 at its relaxed geometry. Source: Alexandria, functional PBE.

Output
Its space group is R-3m (166). The energy of formation from the pure elements comes out at -0.173 eV per atom. For the total energy, the calculation gives -7.03 eV/atom. The value obtained for the mass density is 10330 kg/m³.

```
Pu2MgNi9
1.0
2.4398 1.4086 8.1117
-2.4398 1.4086 8.1117
0.0000 -2.8172 8.1117
Pu Mg Ni
2 1 9
direct
0.1396 0.1396 0.1396 Pu
0.8604 0.8604 0.8604 Pu
0.0000 0.0000 0.0000 Mg
0.0805 0.5815 0.5815 Ni
0.3329 0.3329 0.3329 Ni
0.4185 0.4185 0.9195 Ni
0.4185 0.9195 0.4185 Ni
0.5000 0.5000 0.5000 Ni
0.5815 0.0805 0.5815 Ni
0.5815 0.5815 0.0805 Ni
0.6671 0.6671 0.6671 Ni
0.9195 0.4185 0.4185 Ni
```